An optimized crystal structure of Tb2Ag2Pd15. Source: Alexandria, functional GGA-PBE.

## Properties
Calculated density (g/cm3): 10.7
Calculated volume (Å³/atom): 17.4
Energy of formation from the pure elements (eV per atom): -0.31
Fermi-level density of states (states/eV/atom): 1.04

Lattice parameters (Å, degrees): 6.986 6.986 6.986 81.79 81.79 81.79
Positions (direct):
Tb  0.343  0.343  0.343
Tb  0.657  0.657  0.657
Ag  0.099  0.099  0.099
Ag  0.901  0.901  0.901
Pd  0.500  0.000  0.000
Pd  0.000  0.000  0.500
Pd  0.000  0.500  0.000
Pd  0.000  0.683  0.317
Pd  0.683  0.317  0.000
Pd  0.317  0.000  0.683
Pd  0.317  0.683  0.000
Pd  0.683  0.000  0.317
Pd  0.000  0.317  0.683
Pd  0.164  0.655  0.655
Pd  0.655  0.655  0.164
Pd  0.655  0.164  0.655
Pd  0.836  0.345  0.345
Pd  0.345  0.345  0.836
Pd  0.345  0.836  0.345